First-principles (PBE) data for a geometry-optimized Al5P4 structure, as listed in Alexandria.

a = 7.1802 Å, b = 7.1802 Å, c = 7.1802 Å
α = 93.30°, β = 93.30°, γ = 152.25°
With the nearest neighbours (Å) after each atom.
Sites, in units of the cell vectors:
Al (0.0000, 0.0000, 0.0000)  4 P 2.52
Al (0.3360, 0.6640, 0.0000)  4 P 2.53
Al (0.6640, 0.3360, 0.0000)  4 P 2.53
Al (0.6640, 0.6640, 0.3281)  4 P 2.53
Al (0.3360, 0.3360, 0.6719)  4 P 2.53
P (0.2556, 0.0000, 0.2556)  5 Al 2.52-2.53
P (0.7444, 0.0000, 0.7444)  5 Al 2.52-2.53
P (0.0000, 0.7444, 0.7444)  5 Al 2.52-2.53
P (0.0000, 0.2556, 0.2556)  5 Al 2.52-2.53

Calculated values
ΔE_f ... 0.04 eV per atom

***

First-principles (PBE) data for a geometry-optimized Ac2BeGa structure, as listed in Alexandria.

a = 3.8635 Å, b = 3.8635 Å, c = 11.2264 Å
α = 80.09°, β = 80.09°, γ = 60.00°
With the nearest neighbours (Å) after each atom.
Sites, in units of the cell vectors:
Be (0.0000, 0.0000, 0.0000)  2 Ac 3.18
Ac (0.0962, 0.0962, 0.7113)  1 Be 3.18, 3 Ga 3.22
Ac (0.9038, 0.9038, 0.2887)  1 Be 3.18, 3 Ga 3.22
Ga (0.5000, 0.5000, 0.5000)  6 Ac 3.22

Calculated values
ΔE_f ... 0.62 eV per atom
Energy relative to the lowest polymorph listed for this composition ... 0.659 eV/atom

***

First-principles (PBE) data for a geometry-optimized Sr12Mg3F5 structure, as listed in Alexandria.

a = 15.3506 Å, b = 15.3506 Å, c = 15.3506 Å
α = 109.47°, β = 109.47°, γ = 109.47°
With the nearest neighbours (Å) after each atom.
Sites, in units of the cell vectors:
Mg (0.7500, 0.3750, 0.1250)  8 Sr 3.51-3.60
Mg (0.8750, 0.7500, 0.1250)  8 Sr 3.51-3.60
Mg (0.3750, 0.7500, 0.6250)  8 Sr 3.51-3.60
Mg (0.2500, 0.1250, 0.3750)  8 Sr 3.51-3.60
Mg (0.8750, 0.1250, 0.2500)  8 Sr 3.51-3.60
Mg (0.3750, 0.6250, 0.2500)  8 Sr 3.51-3.60
Mg (0.6250, 0.3750, 0.7500)  8 Sr 3.51-3.60
Mg (0.1250, 0.8750, 0.7500)  8 Sr 3.51-3.60
Mg (0.7500, 0.8750, 0.6250)  8 Sr 3.51-3.60
Mg (0.6250, 0.2500, 0.3750)  8 Sr 3.51-3.60
Mg (0.1250, 0.2500, 0.8750)  8 Sr 3.51-3.60
Mg (0.2500, 0.6250, 0.8750)  8 Sr 3.51-3.60
F (0.1250, 0.3750, 0.2500)  4 Sr 2.50
F (0.0000, 0.5000, 0.0000)  6 Sr 2.92
F (0.0000, 0.0000, 0.0000)  6 Sr 2.92
F (0.3750, 0.2500, 0.1250)  4 Sr 2.50
F (0.5000, 0.0000, 0.5000)  6 Sr 2.92
F (0.5000, 0.5000, 0.0000)  6 Sr 2.92
F (0.1250, 0.7500, 0.3750)  4 Sr 2.50
F (0.7500, 0.1250, 0.8750)  4 Sr 2.50
F (0.7500, 0.6250, 0.3750)  4 Sr 2.50
F (0.3750, 0.1250, 0.7500)  4 Sr 2.50
F (0.6250, 0.8750, 0.2500)  4 Sr 2.50
F (0.5000, 0.5000, 0.5000)  6 Sr 2.92
F (0.5000, 0.0000, 0.0000)  6 Sr 2.92
F (0.0000, 0.0000, 0.5000)  6 Sr 2.92
F (0.2500, 0.3750, 0.6250)  4 Sr 2.50
F (0.2500, 0.8750, 0.1250)  4 Sr 2.50
F (0.0000, 0.5000, 0.5000)  6 Sr 2.92
F (0.8750, 0.2500, 0.6250)  4 Sr 2.50
F (0.6250, 0.7500, 0.8750)  4 Sr 2.50
F (0.8750, 0.6250, 0.7500)  4 Sr 2.50
Sr (0.7038, 0.1130, 0.0137)  1 F 2.50
Sr (0.3099, 0.5137, 0.4007)  1 F 2.50
Sr (0.9863, 0.3870, 0.2962)  1 F 2.50
Sr (0.5137, 0.2038, 0.1130)  1 F 2.50
Sr (0.5908, 0.7038, 0.6901)  1 F 2.50
Sr (0.9863, 0.5993, 0.1901)  1 F 2.50
Sr (0.3099, 0.7962, 0.4092)  1 F 2.50
Sr (0.0993, 0.9092, 0.1130)  1 F 2.50
Sr (0.5993, 0.9863, 0.6901)  1 F 2.50
Sr (0.7038, 0.5908, 0.1901)  1 F 2.50
Sr (0.7962, 0.4863, 0.3870)  1 F 2.50
Sr (0.8099, 0.9007, 0.0137)  1 F 2.50
Sr (0.1130, 0.7038, 0.5137)  1 F 2.50
Sr (0.3870, 0.4007, 0.0908)  1 F 2.50
Sr (0.0908, 0.9007, 0.3870)  1 F 2.50
Sr (0.4092, 0.1130, 0.5993)  1 F 2.50
Sr (0.0908, 0.1901, 0.2038)  1 F 2.50
Sr (0.4863, 0.6901, 0.0993)  1 F 2.50
Sr (0.8099, 0.9092, 0.2962)  1 F 2.50
Sr (0.1130, 0.4092, 0.0993)  1 F 2.50
Sr (0.3870, 0.9863, 0.7962)  1 F 2.50
Sr (0.5993, 0.6130, 0.4092)  1 F 2.50
Sr (0.9007, 0.8099, 0.5137)  1 F 2.50
Sr (0.7962, 0.3099, 0.9092)  1 F 2.50
Sr (0.4007, 0.3870, 0.5908)  1 F 2.50
Sr (0.0993, 0.1901, 0.4863)  1 F 2.50
Sr (0.2038, 0.6901, 0.0908)  1 F 2.50
Sr (0.1901, 0.0908, 0.7038)  1 F 2.50
Sr (0.6130, 0.0137, 0.2038)  1 F 2.50
Sr (0.8870, 0.5908, 0.9007)  1 F 2.50
Sr (0.5137, 0.3099, 0.9007)  1 F 2.50
Sr (0.5908, 0.8870, 0.4007)  1 F 2.50
Sr (0.9092, 0.8099, 0.7962)  1 F 2.50
Sr (0.9092, 0.0993, 0.6130)  1 F 2.50
Sr (0.8870, 0.2962, 0.4863)  1 F 2.50
Sr (0.1901, 0.0993, 0.9863)  1 F 2.50
Sr (0.6130, 0.5993, 0.9092)  1 F 2.50
Sr (0.4007, 0.0137, 0.3099)  1 F 2.50
Sr (0.2962, 0.4092, 0.8099)  1 F 2.50
Sr (0.2038, 0.5137, 0.6130)  1 F 2.50
Sr (0.9007, 0.0908, 0.8870)  1 F 2.50
Sr (0.6901, 0.2038, 0.5908)  1 F 2.50
Sr (0.4863, 0.7962, 0.8870)  1 F 2.50
Sr (0.0137, 0.4007, 0.8099)  1 F 2.50
Sr (0.4092, 0.2962, 0.3099)  1 F 2.50
Sr (0.0137, 0.6130, 0.7038)  1 F 2.50
Sr (0.6901, 0.4863, 0.5993)  1 F 2.50
Sr (0.2962, 0.8870, 0.9863)  1 F 2.50

Calculated values
E_form (uncorrected) ... -1.34 eV/atom

***

First-principles (PBE) data for a geometry-optimized AcSc2Cu structure, as listed in Alexandria.

a = 3.5111 Å, b = 3.5111 Å, c = 10.6092 Å
α = 80.48°, β = 80.48°, γ = 60.00°
With the nearest neighbours (Å) after each atom.
Sites, in units of the cell vectors:
Sc (0.1106, 0.1106, 0.6683)  3 Cu 2.68
Sc (0.8894, 0.8894, 0.3317)  3 Cu 2.68
Ac (0.0000, 0.0000, 0.0000)  2 Sc 3.45, 6 Ac 3.51
Cu (0.5000, 0.5000, 0.5000)  6 Sc 2.68

Calculated values
ΔE_f ... 0.27 eV per atom
Energy relative to the lowest polymorph listed for this composition ... 0.277 eV/atom

***

First-principles (PBE) data for a geometry-optimized RbNd2Ga structure, as listed in Alexandria.

a = 3.8866 Å, b = 3.8866 Å, c = 12.4790 Å
α = 81.04°, β = 81.04°, γ = 60.00°
With the nearest neighbours (Å) after each atom.
Sites, in units of the cell vectors:
Nd (0.1115, 0.1115, 0.6656)  3 Ga 3.03
Nd (0.8885, 0.8885, 0.3344)  3 Ga 3.03
Ga (0.5000, 0.5000, 0.5000)  6 Nd 3.03
Rb (0.0000, 0.0000, 0.0000)  6 Rb 3.89, 2 Nd 4.10

Calculated values
ΔE_f ... 0.04 eV per atom

***

First-principles (PBE) data for a geometry-optimized Sc4HAu2 structure, as listed in Alexandria.

a = 4.3621 Å, b = 4.3621 Å, c = 7.6521 Å
α = 106.56°, β = 106.56°, γ = 90.00°
With the nearest neighbours (Å) after each atom.
Sites, in units of the cell vectors:
Sc (0.8192, 0.8192, 0.6384)  1 H 2.53, 1 Au 2.66
Sc (0.1808, 0.1808, 0.3616)  1 H 2.53, 1 Au 2.66
Sc (0.0000, 0.5000, 0.0000)  2 H 2.18
Sc (0.5000, 0.0000, 0.0000)  2 H 2.18
H (0.0000, 0.0000, 0.0000)  4 Sc 2.18
Au (0.6292, 0.6292, 0.2585)  5 Sc 2.66-2.83
Au (0.3708, 0.3708, 0.7415)  5 Sc 2.66-2.83

Calculated values
Total DFT energy (no corrections) ... -5.57 eV per atom

***

The evaluated Fermi-level density of states for the records listed, in turn: 4.120 3.868 61.659 6.725 5.400 9.372 states/eV/cell.
The evaluated M_tot for the records listed, in turn: 0.00 0.00 0.00 0.00 0.01 0.00 μB per formula unit.
The evaluated volume for the records listed, in turn: 167.3 142.2 2784.6 111.2 160.6 133.2 Å³/cell.